(1)
First-principles (PBE) data for a relaxed structure of LaAlH, as listed in the Alexandria database.

Lattice parameters (Å, degrees): 4.1840 4.4232 6.7202 90.00 108.07 90.00
Fractional positions:
La 0.1584 0.2500 0.3174
La 0.8416 0.7500 0.6826
Al 0.4445 0.2500 0.8914
Al 0.5555 0.7500 0.1086
H 0.2433 0.7500 0.4865
H 0.7567 0.2500 0.5135

Properties
N(E_F): 1.5 states/eV/f.u.
polymorph energy (0 for the lowest one): 0.000 eV per atom
energy: -27.06 eV/cell
crystal system: monoclinic

(2)
First-principles (PBE) data for a relaxed structure of LaAlH3, as listed in the Alexandria database.

Lattice parameters (Å, degrees): 4.4125 4.4125 4.4125 90.00 90.00 90.00
Fractional positions:
La 0.0000 0.0000 0.0000
Al 0.5000 0.5000 0.5000
H 0.0000 0.0000 0.5000
H 0.0000 0.5000 0.0000
H 0.5000 0.0000 0.0000

Properties
N(E_F): 1.4 states/eV/f.u.
energy: -18.14 eV/cell
crystal system: cubic

(3)
First-principles (PBE) data for a relaxed structure of LiLa2AlH, as listed in the Alexandria database.

Lattice parameters (Å, degrees): 5.1673 5.1673 4.1769 90.00 90.00 90.00
Fractional positions:
Li 0.0000 0.0000 0.0000
La 0.0000 0.5000 0.5000
La 0.5000 0.0000 0.5000
Al 0.5000 0.5000 0.0000
H 0.5000 0.5000 0.5000

Properties
N(E_F): 4.9 states/eV/f.u.
polymorph energy (0 for the lowest one): 0.143 eV per atom
energy: -19.86 eV/cell
crystal system: tetragonal

Number 1: total magnetic moment 0.00 μB/cell. Number 2: total magnetic moment 0.00 μB/cell. Number 3: total magnetic moment 0.00 μB/cell.